## i
Computed, not measured: LiCoBOs after structural relaxation at the PBE level of DFT.

Summary:
The calculation puts the volume at 9.7 Å³/atom. For the total moment, the calculation gives 0.2271 μB per atom.

Cell lengths 5.3710, 5.3710, 5.3710 Å; angles 90.00, 90.00, 90.00 degrees
Closest atoms and distances in Å follow each position.
Space group F-43m (No. 216)
One atom of each set of equivalent atoms:
Li1 0.0000 0.0000 0.0000 (multiplicity 4)  4 Co 2.33, 4 Os 2.33
Co1 0.2500 0.2500 0.7500 (multiplicity 4)  4 Li 2.33, 4 B 2.33
B1 0.0000 0.0000 0.5000 (multiplicity 4)  4 Os 2.33, 4 Co 2.33
Os1 0.2500 0.2500 0.2500 (multiplicity 4)  4 Li 2.33, 4 B 2.33

***

## ii
Computed, not measured: LiCoBOs after structural relaxation at the PBE level of DFT.

Summary:
The calculation puts the volume at 10.4 Å³/atom. For the total moment, the calculation gives 0.4789 μB per atom.

Cell lengths 5.5034, 5.5034, 5.5034 Å; angles 90.00, 90.00, 90.00 degrees
Closest atoms and distances in Å follow each position.
Space group F-43m (No. 216)
One atom of each set of equivalent atoms:
Li1 0.0000 0.0000 0.0000 (multiplicity 4)  4 B 2.38, 4 Os 2.38
Co1 0.0000 0.0000 0.5000 (multiplicity 4)  4 Os 2.38, 4 B 2.38
B1 0.2500 0.2500 0.2500 (multiplicity 4)  4 Li 2.38, 4 Co 2.38
Os1 0.2500 0.2500 0.7500 (multiplicity 4)  4 Li 2.38, 4 Co 2.38

***

Going by the energies, i is most stable and the next is 0.301 eV/atom up.